Entry from Alexandria via LeMat-Bulk: Y2Os2Au after structural relaxation (GGA-PBE).

Calculated formation energy in eV/atom: -0.21

a = 6.973 Å, b = 6.973 Å, c = 4.346 Å
α = 90.00°, β = 90.00°, γ = 90.00°
Fractional coordinates of all 10 atoms:
Y (0.178, 0.678, 0.500)
Y (0.678, 0.822, 0.500)
Y (0.822, 0.322, 0.500)
Y (0.322, 0.178, 0.500)
Os (0.379, 0.879, 0.000)
Os (0.879, 0.621, 0.000)
Os (0.621, 0.121, 0.000)
Os (0.121, 0.379, 0.000)
Au (0.000, 0.000, 0.000)
Au (0.500, 0.500, 0.000)